<one>
DFT (PBE-GGA) results for a geometry-optimized TbHoCu4 structure.

POSCAR file:
```
TbHoCu4
1.0
-0.930 -2.833 -1.807
2.258 -1.915 1.841
-6.224 -1.700 5.869
Cu Tb Ho
4 1 1
Cartesian
-4.474 -3.777 4.862
-1.999 -0.546 1.885
-4.225 -1.154 3.984
-0.422 -2.671 1.041
-2.448 -3.224 2.951
0.000 0.000 0.000
```

- ρ: 9.05 Mg/m³
- Symmetry: P4/mmm, No. 123


<two>
DFT (PBE-GGA) results for a geometry-optimized TbHoCu4 structure.

POSCAR file:
```
TbHoCu4
1.0
-1.761 -4.895 0.407
-5.088 -0.889 0.741
-2.873 -2.067 -3.834
Cu Tb Ho
4 1 1
Cartesian
-5.959 -6.426 -2.723
-7.627 -4.418 -2.556
-7.070 -5.835 -0.429
-8.510 -6.872 -2.351
-4.861 -3.925 -1.343
-2.430 -1.963 -0.672
```

- ρ: 9.56 Mg/m³
- Symmetry: F-43m, No. 216


So which one is most stable? That would be <one>, about 24 meV per atom below the next structure.


<one>
DFT (PBE-GGA) results for a geometry-optimized Ho5CuTe3 structure.

POSCAR file:
```
Ho5CuTe3
1.0
8.567 0.000 0.000
-4.284 7.419 0.000
0.000 0.000 3.845
Ho Te Cu
5 3 1
Cartesian
-0.999 1.731 1.923
4.284 2.473 1.923
0.000 4.946 1.923
3.284 5.689 1.923
1.998 0.000 1.923
1.873 3.244 0.000
-2.411 4.176 0.000
4.822 0.000 0.000
0.000 0.000 0.000
```

- ρ: 8.64 Mg/m³
- Symmetry: P-62m, No. 189


<two>
DFT (PBE-GGA) results for a geometry-optimized Ho5CuTe3 structure.

POSCAR file:
```
Ho5CuTe3
1.0
8.370 0.000 0.000
-4.185 7.249 0.000
0.000 0.000 3.968
Ho Te Cu
5 3 1
Cartesian
1.388 2.404 0.000
5.594 0.000 0.000
4.185 2.416 1.984
-2.797 4.845 0.000
0.000 4.833 1.984
-1.147 1.986 1.984
3.038 5.263 1.984
2.294 0.000 1.984
0.000 0.000 0.000
```

- ρ: 8.77 Mg/m³
- Symmetry: P-62m, No. 189


So which one is most stable? That would be <one>, about 33 meV per atom below the next structure.


<one>
DFT (PBE-GGA) results for a geometry-optimized Ho3Tm3CuTe2 structure.

POSCAR file:
```
Ho3Tm3CuTe2
1.0
8.353 0.000 0.000
-4.177 7.234 0.000
0.000 0.000 3.900
Ho Te Cu Tm
3 2 1 3
Cartesian
2.033 0.000 1.950
3.160 5.474 1.950
-1.016 1.760 1.950
0.000 4.823 1.950
4.177 2.411 1.950
0.000 0.000 0.000
1.675 2.901 0.000
5.003 0.000 0.000
-2.502 4.333 0.000
```

- ρ: 9.30 Mg/m³
- Symmetry: P-62m, No. 189


<two>
DFT (PBE-GGA) results for a geometry-optimized Ho3Tm3CuTe2 structure.

POSCAR file:
```
Ho3Tm3CuTe2
1.0
3.910 0.000 0.000
0.000 7.216 4.168
0.000 -7.216 4.168
Te Tm Ho Cu
2 3 3 1
Cartesian
1.955 -2.407 4.167
1.955 2.407 4.167
1.955 5.469 3.160
1.955 0.000 2.016
1.955 -5.469 3.160
0.000 2.899 1.674
0.000 0.000 4.984
0.000 -2.899 1.674
0.000 0.000 0.004
```

- ρ: 9.32 Mg/m³
- Symmetry: P-62m, No. 189


So which one is most stable? That would be <two>, about 25 meV per atom below the next structure.


<one>
DFT (PBE-GGA) results for a geometry-optimized HoTmCuTe3 structure.

POSCAR file:
```
HoTmCuTe3
1.0
-5.896 4.069 -1.876
2.685 -5.859 3.647
1.459 6.235 8.943
Tm Te Cu Ho
2 6 2 2
Cartesian
-3.584 3.375 1.613
1.832 1.071 9.101
-0.217 -1.960 2.325
-1.534 6.406 8.390
-2.064 4.139 5.138
2.197 -3.313 5.334
-3.949 7.759 5.380
0.313 0.307 5.576
-0.758 4.068 7.434
-0.993 0.378 3.280
0.000 0.000 0.000
0.729 3.118 4.472
```

- ρ: 8.11 Mg/m³
- Symmetry: Cmcm, No. 63


<two>
DFT (PBE-GGA) results for a geometry-optimized HoTmCuTe3 structure.

POSCAR file:
```
HoTmCuTe3
1.0
-4.178 -8.865 4.976
0.319 -2.106 -3.485
13.110 -4.111 3.685
Cu Te Tm Ho
4 12 4 4
Cartesian
8.557 -5.577 2.957
0.695 -9.506 2.219
2.037 -4.839 -0.479
7.215 -10.244 5.655
1.121 -2.788 -1.802
3.058 -8.483 1.817
7.846 -3.382 1.566
1.405 -11.700 3.610
-1.109 -7.972 3.520
6.194 -6.599 3.359
3.492 -4.327 1.738
-0.293 -6.080 0.058
5.759 -10.755 3.438
10.360 -7.110 1.656
9.545 -9.002 5.118
8.130 -12.294 6.978
6.055 -13.358 5.038
3.196 -1.724 0.138
1.248 -6.201 2.666
8.003 -8.881 2.510
10.098 -12.003 4.589
3.137 -9.416 4.782
-0.847 -3.079 0.587
6.114 -5.666 0.394
```

- ρ: 8.12 Mg/m³
- Symmetry: Pnma, No. 62


So which one is most stable? That would be <two>, about 10 meV per atom below the next structure.


<one>
DFT (PBE-GGA) results for a geometry-optimized Ho3Zr3CuTe2 structure.

POSCAR file:
```
Ho3Zr3CuTe2
1.0
8.125 0.000 0.000
-4.063 7.037 0.000
0.000 0.000 3.727
Zr Ho Cu Te
3 3 1 2
Cartesian
4.795 0.000 0.000
1.665 2.884 0.000
-2.397 4.152 0.000
-1.008 1.745 1.863
2.015 0.000 1.863
3.055 5.291 1.863
0.000 0.000 0.000
0.000 4.691 1.863
4.063 2.346 1.863
```

- ρ: 8.47 Mg/m³
- Symmetry: P-62m, No. 189


<two>
DFT (PBE-GGA) results for a geometry-optimized Ho3Zr3CuTe2 structure.

POSCAR file:
```
Ho3Zr3CuTe2
1.0
-4.510 4.755 4.441
-3.030 -3.433 -6.458
-1.140 -3.141 2.204
Te Zr Ho Cu
2 3 3 1
Cartesian
-4.587 0.455 1.910
-4.094 -2.274 -1.723
-1.273 -2.366 -0.395
-1.616 -0.468 2.132
-6.363 -0.555 -0.447
-1.820 -2.062 -3.879
-2.709 2.856 2.668
-3.011 0.528 -0.805
0.000 0.000 0.000
```

- ρ: 8.31 Mg/m³
- Symmetry: P-62m, No. 189


So which one is most stable? That would be <two>, about 125 meV per atom below the next structure.


<one>
DFT (PBE-GGA) results for a geometry-optimized YHoCu2 structure.

POSCAR file:
```
YHoCu2
1.0
4.445 0.000 0.000
0.000 7.102 0.000
0.000 0.000 5.372
Y Ho Cu
2 2 4
Cartesian
2.223 3.062 0.715
0.000 4.040 3.401
0.000 0.488 4.654
2.223 6.614 1.968
2.223 1.985 3.364
2.223 5.591 4.696
0.000 1.511 2.010
0.000 5.117 0.678
```

- ρ: 7.46 Mg/m³
- Symmetry: Pmn2_1, No. 31


<two>
DFT (PBE-GGA) results for a geometry-optimized YHoCu2 structure.

POSCAR file:
```
YHoCu2
1.0
4.370 0.000 0.000
0.000 5.392 0.000
0.000 0.000 7.095
Ho Cu Y
2 4 2
Cartesian
0.000 2.057 5.811
0.000 3.335 2.263
0.000 4.710 6.851
2.185 3.366 0.248
2.185 2.026 3.795
0.000 0.682 3.303
2.185 0.642 1.281
2.185 4.750 4.829
```

- ρ: 7.57 Mg/m³
- Symmetry: Pmc2_1, No. 26


So which one is most stable? That would be <one>, about 6 meV per atom below the next structure.


<one>
DFT (PBE-GGA) results for a geometry-optimized Cu2I structure.

POSCAR file:
```
Cu2I
1.0
-1.955 3.267 4.694
-4.853 1.677 -3.189
-2.087 -3.312 1.435
Cu I
4 2
Cartesian
-2.065 1.500 0.457
-4.743 3.445 1.049
-3.569 1.299 3.862
-5.327 0.334 -0.920
-4.448 0.816 1.471
0.000 0.000 0.000
```

- ρ: 5.54 Mg/m³
- Symmetry: P4_2/mnm, No. 136


<two>
DFT (PBE-GGA) results for a geometry-optimized Cu2I structure.

POSCAR file:
```
Cu2I
1.0
6.782 3.268 3.647
6.935 1.323 -4.487
2.376 7.811 -1.823
Cu I
4 2
Cartesian
6.035 4.651 -0.999
7.223 8.556 -1.911
9.426 6.285 0.825
9.502 5.312 -3.243
8.047 6.201 -1.332
4.023 3.101 -0.666
```

- ρ: 2.04 Mg/m³
- Symmetry: Fd-3m, No. 227


<three>
DFT (PBE-GGA) results for a geometry-optimized Cu2I structure.

POSCAR file:
```
Cu2I
1.0
0.000 3.784 3.784
3.784 0.000 3.784
3.784 3.784 0.000
I Cu
2 4
Cartesian
1.892 1.892 1.892
0.000 0.000 0.000
4.730 4.730 4.730
2.838 4.730 2.838
4.730 2.838 2.838
2.838 2.838 4.730
```

- ρ: 7.78 Mg/m³
- Symmetry: Fd-3m, No. 227


So which one is most stable? That would be <three>, about 249 meV per atom below the next structure.


<one>
DFT (PBE-GGA) results for a geometry-optimized Cu2I3 structure.

POSCAR file:
```
Cu2I3
1.0
6.936 -1.344 1.602
-6.039 -0.621 3.954
4.349 -2.996 -4.960
I Cu
3 2
Cartesian
4.244 -2.410 1.534
0.967 -2.474 -1.156
0.448 -0.981 2.774
2.060 -1.188 0.809
2.727 -2.768 -3.055
```

- ρ: 5.48 Mg/m³
- Symmetry: Imm2, No. 44


<two>
DFT (PBE-GGA) results for a geometry-optimized Cu2I3 structure.

POSCAR file:
```
Cu2I3
1.0
-7.010 0.000 0.000
3.505 -6.071 0.000
-3.505 2.024 6.472
I Cu
6 4
Cartesian
-5.908 -2.139 1.618
-2.403 0.115 1.618
-2.203 -4.047 1.618
-4.607 -4.162 4.854
-1.102 -1.908 4.854
-4.806 0.000 4.854
-3.505 -2.024 0.356
0.000 -4.047 3.592
-3.505 -2.024 6.116
-7.010 0.000 2.880
```

- ρ: 6.12 Mg/m³
- Symmetry: R-3c, No. 167


So which one is most stable? That would be <one>, about 155 meV per atom below the next structure.